[1]
La7Dy16Y6: optimized geometry, PBE-GGA.

a b c (Å): 11.303 11.303 11.303
angles (deg): 60.00 60.00 60.00
Fractional positions:
La  0.000  0.000  0.000
La  0.500  0.000  0.500
La  0.000  0.500  0.000
La  0.000  0.500  0.500
La  0.500  0.000  0.000
La  0.000  0.000  0.500
La  0.500  0.500  0.000
Dy  0.872  0.872  0.385
Dy  0.872  0.872  0.872
Dy  0.872  0.385  0.872
Dy  0.385  0.872  0.872
Dy  0.128  0.128  0.128
Dy  0.128  0.128  0.615
Dy  0.128  0.615  0.128
Dy  0.615  0.128  0.128
Dy  0.653  0.653  0.041
Dy  0.653  0.653  0.653
Dy  0.653  0.041  0.653
Dy  0.041  0.653  0.653
Dy  0.347  0.347  0.347
Dy  0.347  0.347  0.959
Dy  0.347  0.959  0.347
Dy  0.959  0.347  0.347
Y  0.261  0.739  0.261
Y  0.739  0.261  0.739
Y  0.739  0.261  0.261
Y  0.261  0.739  0.739
Y  0.739  0.739  0.261
Y  0.261  0.261  0.739

Values from the calculation:
E_tot ... -4.802 eV/atom

---

[2]
Dy2PuSi4Pt3: optimized geometry, PBE-GGA.

a b c (Å): 4.173 4.173 11.062
angles (deg): 90.00 90.00 90.00
Each line ends with the local moment (μB).
Fractional positions:
Dy  0.500  0.000  0.231  0.03
Dy  0.000  0.500  0.769  0.03
Pu  0.500  0.500  0.500  5.00
Si  0.500  0.500  0.000  0.00
Si  0.000  0.000  0.000  0.00
Si  0.500  0.000  0.671  -0.02
Si  0.000  0.500  0.329  -0.02
Pt  0.000  0.000  0.500  -0.06
Pt  0.500  0.000  0.887  0.01
Pt  0.000  0.500  0.113  0.01

Values from the calculation:
E_form (uncorrected) ... -816 meV/atom